(one)
A relaxed structure of Ce2CoC. Source: the Alexandria database, functional PBE.

a b c (Å): 3.3920 3.3920 22.9559
angles (deg): 90.00 90.00 120.00
Atoms (fractional coordinates):
Ce (0.0000, 0.0000, 0.1015)
Ce (0.0000, 0.0000, 0.8985)
Ce (0.3333, 0.6667, 0.5652)
Ce (0.3333, 0.6667, 0.7681)
Ce (0.6667, 0.3333, 0.2319)
Ce (0.6667, 0.3333, 0.4348)
Co (0.0000, 0.0000, 0.0000)
Co (0.3333, 0.6667, 0.6667)
Co (0.6667, 0.3333, 0.3333)
C (0.0000, 0.0000, 0.5000)
C (0.3333, 0.6667, 0.1667)
C (0.6667, 0.3333, 0.8333)

Results
density of states at the Fermi level: 14.4 states/eV/cell
total magnetic moment: 0.00 μB/f.u.

(two)
A relaxed structure of Ce2CoC. Source: the Alexandria database, functional PBE.

a b c (Å): 5.8250 5.0836 9.1211
angles (deg): 90.00 90.00 90.00
Atoms (fractional coordinates):
Ce (0.1018, 0.2337, 0.0969)
Ce (0.1018, 0.2663, 0.4031)
Ce (0.3982, 0.7337, 0.4031)
Ce (0.3982, 0.7663, 0.0969)
Ce (0.6018, 0.2337, 0.9031)
Ce (0.6018, 0.2663, 0.5969)
Ce (0.8982, 0.7337, 0.5969)
Ce (0.8982, 0.7663, 0.9031)
Co (0.1283, 0.2500, 0.7500)
Co (0.3717, 0.7500, 0.7500)
Co (0.6283, 0.2500, 0.2500)
Co (0.8717, 0.7500, 0.2500)
C (0.2500, 0.0000, 0.6135)
C (0.2500, 0.5000, 0.8865)
C (0.7500, 0.0000, 0.3865)
C (0.7500, 0.5000, 0.1135)

Results
density of states at the Fermi level: 26.8 states/eV/cell
total magnetic moment: 0.00 μB/f.u.

Relative energies, unit meV per atom: (one) 281; (two) 0